Entry from Alexandria via LeMat-Bulk: a relaxed SrTaI2O crystal (PBE).

```
data_SrTaI2O
_cell_length_a 6.265
_cell_length_b 6.265
_cell_length_c 4.206
_cell_angle_alpha 90.00
_cell_angle_beta 90.00
_cell_angle_gamma 90.00
_symmetry_space_group_name_H-M 'P 1'
_symmetry_Int_Tables_number 1
loop_
_symmetry_equiv_pos_as_xyz
'x,y,z'
loop_
_atom_site_label
_atom_site_type_symbol
_atom_site_fract_x
_atom_site_fract_y
_atom_site_fract_z
Ta1 Ta 0.500 0.500 0.500
I1 I 0.500 0.000 0.000
I2 I 0.000 0.500 0.000
Sr1 Sr 0.000 0.000 0.000
O1 O 0.000 0.000 0.500
```

Computed properties:
calculated volume = 165.1 Å³/f.u.
M_tot = 3.39 μB per cell
density = 5.4 g/cm³
SG = P4/mmm, No. 123
DFT total energy = -4.01 eV/atom